This record from Alexandria describes a relaxed structure of SrNpSe3. The functional is PBE-GGA.

a = 5.334 Å, b = 7.840 Å, c = 8.509 Å
α = 97.77°, β = 90.00°, γ = 109.89°
Positions (direct):
Se: 0.843 0.685 0.399
Se: 0.157 0.315 0.601
Se: 0.945 0.890 0.799
Se: 0.331 0.662 0.014
Se: 0.669 0.338 0.986
Np: 0.867 0.734 0.084
Sr: 0.362 0.725 0.637
Np: 0.133 0.266 0.916
Sr: 0.638 0.275 0.363
Se: 0.055 0.110 0.201

Calculated values
For the total energy, the calculation gives -6.365 eV/atom. The symmetry is C2/m (12). The value obtained for the formation energy (no corrections) is -1350 meV per atom. The calculation puts the density of states at the Fermi level at 20.7 states/eV/cell.